La6PmNd2 after structural relaxation. Source: Alexandria, functional PBE-GGA.

Geometry as POSCAR:
```
La6PmNd2
1.0
3.701 0.000 0.000
-1.850 3.205 0.000
0.000 0.000 27.806
La Pm Nd
6 1 2
Cartesian
0.000 0.000 1.730 La
0.000 0.000 7.795 La
0.000 0.000 20.011 La
0.000 0.000 26.076 La
0.000 2.137 10.904 La
0.000 2.137 16.902 La
0.000 0.000 13.903 Pm
0.000 2.137 4.704 Nd
0.000 2.137 23.102 Nd
```

Computed properties:
Calculated formation energy, meV/atom: 57
Distance to the lowest polymorph of the same formula, meV/atom: 0
N(E_F), states/eV/cell: 17.7
Space group: P-6m2 (187)
M_tot, Bohr magnetons per cell: 0.00
Final energy, eV per atom: -4.815